Entry 1:
Computed, not measured: a geometry-optimized Ca2ErO structure at the PBE level of DFT.

Cell lengths 3.463, 3.463, 9.739 Å; angles 79.76, 79.76, 60.00 degrees
Fractional coordinates of all 4 atoms:
1 Er 0.000 0.000 0.000
2 O 0.500 0.500 0.500
3 Ca 0.118 0.118 0.647
4 Ca 0.882 0.882 0.353

Properties
E_form (uncorrected) in eV/atom: -1.210
Total DFT energy (no corrections) in eV per atom: -4.591



Entry 2:
Computed, not measured: a geometry-optimized CaEr2O4 structure at the PBE level of DFT.

Cell lengths 3.351, 9.839, 11.735 Å; angles 90.00, 90.00, 90.00 degrees
Fractional coordinates of all 28 atoms:
1 O 0.750 0.497 0.788
2 O 0.250 0.923 0.919
3 Er 0.250 0.420 0.387
4 O 0.250 0.715 0.682
5 O 0.750 0.785 0.182
6 O 0.250 0.423 0.581
7 O 0.250 0.003 0.288
8 Er 0.750 0.575 0.112
9 Er 0.750 0.080 0.887
10 O 0.250 0.632 0.980
11 O 0.250 0.503 0.212
12 Er 0.250 0.425 0.888
13 O 0.750 0.868 0.480
14 Ca 0.750 0.244 0.647
15 Er 0.250 0.920 0.113
16 Er 0.750 0.580 0.613
17 Er 0.750 0.075 0.388
18 Ca 0.750 0.744 0.853
19 O 0.250 0.215 0.818
20 O 0.750 0.997 0.712
21 O 0.250 0.132 0.520
22 O 0.750 0.285 0.318
23 Ca 0.250 0.756 0.353
24 O 0.750 0.368 0.020
25 Ca 0.250 0.256 0.147
26 O 0.750 0.577 0.419
27 Er 0.250 0.925 0.612
28 O 0.750 0.077 0.081

Properties
Energy above the lowest structure with this stoichiometry in eV per atom: 0.025
E_form (uncorrected) in eV/atom: -3.390
Total DFT energy (no corrections) in eV per atom: -7.813



Entry 3:
Computed, not measured: a geometry-optimized CaEr2O4 structure at the PBE level of DFT.

Cell lengths 6.770, 6.770, 6.773 Å; angles 119.97, 119.97, 90.02 degrees
Fractional coordinates of all 14 atoms:
1 O 0.389 0.165 0.777
2 O 0.862 0.139 0.277
3 O 0.389 0.612 0.777
4 O 0.835 0.611 0.223
5 Ca 0.250 0.750 0.500
6 O 0.861 0.138 0.723
7 Er 0.125 0.375 0.750
8 Er 0.625 0.875 0.250
9 Er 0.625 0.375 0.250
10 O 0.861 0.585 0.723
11 Ca 0.000 0.000 0.000
12 Er 0.625 0.375 0.750
13 O 0.415 0.139 0.277
14 O 0.388 0.611 0.223

Properties
Energy above the lowest structure with this stoichiometry in eV per atom: 0.000
E_form (uncorrected) in eV/atom: -3.415
Total DFT energy (no corrections) in eV per atom: -7.838



Entry 4:
Computed, not measured: a geometry-optimized CaErO structure at the PBE level of DFT.

Cell lengths 3.468, 3.468, 5.953 Å; angles 90.00, 90.00, 120.00 degrees
Fractional coordinates of all 3 atoms:
1 O 0.667 0.333 0.338
2 Ca 0.000 0.000 0.095
3 Er 0.333 0.667 0.567

Properties
E_form (uncorrected) in eV/atom: -1.735
Total DFT energy (no corrections) in eV per atom: -5.576



Entry 5:
Computed, not measured: a geometry-optimized CaErO4 structure at the PBE level of DFT.

Cell lengths 3.735, 3.851, 6.624 Å; angles 94.87, 90.00, 119.01 degrees
Fractional coordinates of all 6 atoms:
1 O 0.841 0.681 0.720
2 O 0.663 0.326 0.803
3 Ca 0.434 0.867 0.464
4 O 0.099 0.198 0.376
5 O 0.397 0.793 0.086
6 Er 0.067 0.134 0.051

Properties
E_form (uncorrected) in eV/atom: -2.419
Total DFT energy (no corrections) in eV per atom: -6.818



Entry 6:
Computed, not measured: a geometry-optimized CaErOsO6 structure at the PBE level of DFT.

Cell lengths 5.496, 5.496, 9.708 Å; angles 90.00, 90.00, 120.00 degrees
Fractional coordinates of all 18 atoms:
1 O 0.044 0.381 0.639
2 O 0.381 0.044 0.139
3 O 0.662 0.619 0.139
4 O 0.619 0.662 0.639
5 O 0.338 0.956 0.639
6 Er 0.333 0.667 0.250
7 Er 0.667 0.333 0.750
8 Os 0.333 0.667 0.750
9 O 0.619 0.956 0.861
10 O 0.956 0.338 0.139
11 Ca 0.000 0.000 0.000
12 O 0.338 0.381 0.861
13 O 0.662 0.044 0.361
14 O 0.956 0.619 0.361
15 O 0.044 0.662 0.861
16 Os 0.667 0.333 0.250
17 Ca 0.000 0.000 0.500
18 O 0.381 0.338 0.361

Properties
E_form (uncorrected) in eV/atom: -2.155
Total DFT energy (no corrections) in eV per atom: -7.438



Entry 7:
Computed, not measured: a geometry-optimized Ca2ErPbO6 structure at the PBE level of DFT.

Cell lengths 5.809, 6.037, 8.169 Å; angles 90.00, 90.53, 90.00 degrees
Fractional coordinates of all 20 atoms:
1 Ca 0.481 0.443 0.250
2 Ca 0.981 0.057 0.750
3 Er 0.500 0.000 0.000
4 O 0.700 0.299 0.928
5 O 0.200 0.201 0.428
6 O 0.196 0.203 0.073
7 O 0.804 0.797 0.927
8 O 0.300 0.701 0.072
9 Pb 0.000 0.500 0.000
10 O 0.636 0.068 0.253
11 O 0.696 0.297 0.573
12 Ca 0.519 0.557 0.750
13 O 0.304 0.703 0.427
14 Er 0.000 0.500 0.500
15 O 0.800 0.799 0.572
16 Ca 0.019 0.943 0.250
17 Pb 0.500 0.000 0.500
18 O 0.364 0.932 0.747
19 O 0.864 0.568 0.247
20 O 0.136 0.432 0.753

Properties
E_form (uncorrected) in eV/atom: -2.279
Total DFT energy (no corrections) in eV per atom: -6.481



Entry 8:
Computed, not measured: a geometry-optimized CaEr2PdO5 structure at the PBE level of DFT.

Cell lengths 5.799, 6.402, 6.402 Å; angles 90.00, 90.00, 90.00 degrees
Fractional coordinates of all 18 atoms:
1 O 0.500 0.000 0.000
2 O 0.745 0.353 0.147
3 Er 0.500 0.827 0.673
4 Er 0.500 0.327 0.827
5 O 0.255 0.853 0.353
6 Pd 0.000 0.000 0.500
7 Pd 0.000 0.500 0.000
8 O 0.255 0.147 0.647
9 O 0.255 0.353 0.147
10 Ca 0.000 0.500 0.500
11 O 0.745 0.647 0.853
12 O 0.500 0.500 0.500
13 Er 0.500 0.673 0.173
14 O 0.255 0.647 0.853
15 Er 0.500 0.173 0.327
16 Ca 0.000 0.000 0.000
17 O 0.745 0.853 0.353
18 O 0.745 0.147 0.647

Properties
E_form (uncorrected) in eV/atom: -2.634
Total DFT energy (no corrections) in eV per atom: -7.202



Entry 9:
Computed, not measured: a geometry-optimized CaErPdO4 structure at the PBE level of DFT.

Cell lengths 7.294, 6.357, 6.911 Å; angles 122.93, 90.00, 125.01 degrees
Fractional coordinates of all 14 atoms:
1 O 0.787 0.574 0.728
2 Pd 0.000 0.500 0.500
3 Pd 0.500 0.500 0.500
4 Er 0.500 0.000 0.000
5 O 0.787 0.574 0.345
6 Ca 0.932 0.863 0.182
7 O 0.706 0.018 0.759
8 Ca 0.068 0.137 0.818
9 Er 0.500 0.000 0.500
10 O 0.213 0.426 0.272
11 O 0.213 0.426 0.655
12 O 0.312 0.018 0.759
13 O 0.688 0.982 0.241
14 O 0.294 0.982 0.241

Properties
E_form (uncorrected) in eV/atom: -2.238
Total DFT energy (no corrections) in eV per atom: -6.751



Entry 10:
Computed, not measured: a geometry-optimized CaEr2PuO6 structure at the PBE level of DFT.

Cell lengths 5.817, 5.817, 6.079 Å; angles 61.41, 61.41, 60.00 degrees
Fractional coordinates of all 10 atoms:
1 O 0.222 0.915 0.244
2 Er 0.526 0.526 0.423
3 O 0.706 0.142 0.758
4 O 0.393 0.706 0.758
5 Ca 0.804 0.804 0.588
6 O 0.142 0.393 0.758
7 Pu 0.313 0.313 0.060
8 O 0.915 0.619 0.244
9 O 0.619 0.222 0.244
10 Er 0.020 0.020 0.940

Properties
E_form (uncorrected) in eV/atom: -3.276
Total DFT energy (no corrections) in eV per atom: -8.797



Entry 11:
Computed, not measured: a geometry-optimized CaErPuO6 structure at the PBE level of DFT.

Cell lengths 5.718, 5.718, 9.627 Å; angles 90.00, 90.00, 120.00 degrees
Fractional coordinates of all 18 atoms:
1 Er 0.333 0.667 0.250
2 O 0.626 0.657 0.638
3 O 0.970 0.626 0.362
4 O 0.374 0.343 0.362
5 Pu 0.333 0.667 0.750
6 O 0.626 0.970 0.862
7 O 0.657 0.030 0.362
8 O 0.343 0.970 0.638
9 O 0.970 0.343 0.138
10 O 0.657 0.626 0.138
11 O 0.030 0.657 0.862
12 Ca 0.000 0.000 0.500
13 O 0.343 0.374 0.862
14 O 0.030 0.374 0.638
15 O 0.374 0.030 0.138
16 Ca 0.000 0.000 0.000
17 Pu 0.667 0.333 0.250
18 Er 0.667 0.333 0.750

Properties
E_form (uncorrected) in eV/atom: -2.866
Total DFT energy (no corrections) in eV per atom: -8.493



Entry 12:
Computed, not measured: a geometry-optimized RbCaErO3 structure at the PBE level of DFT.

Cell lengths 3.462, 7.700, 10.033 Å; angles 93.97, 90.00, 90.00 degrees
Fractional coordinates of all 12 atoms:
1 Rb 0.750 0.873 0.796
2 Ca 0.750 0.841 0.434
3 Er 0.250 0.598 0.125
4 Rb 0.250 0.127 0.204
5 Ca 0.250 0.159 0.566
6 O 0.750 0.397 0.086
7 O 0.250 0.252 0.790
8 O 0.750 0.748 0.210
9 O 0.750 0.137 0.431
10 O 0.250 0.603 0.914
11 O 0.250 0.863 0.569
12 Er 0.750 0.402 0.875

Properties
E_form (uncorrected) in eV/atom: -2.589
Total DFT energy (no corrections) in eV per atom: -6.323



Entry 13:
Computed, not measured: a geometry-optimized CaErRe2O8 structure at the PBE level of DFT.

Cell lengths 5.926, 5.926, 6.714 Å; angles 90.00, 90.00, 120.00 degrees
Fractional coordinates of all 12 atoms:
1 Ca 0.000 0.000 0.000
2 O 0.322 0.161 0.276
3 Re 0.333 0.667 0.804
4 O 0.839 0.161 0.276
5 O 0.333 0.667 0.068
6 O 0.678 0.839 0.724
7 O 0.667 0.333 0.932
8 O 0.161 0.839 0.724
9 Er 0.000 0.000 0.500
10 O 0.161 0.322 0.724
11 O 0.839 0.678 0.276
12 Re 0.667 0.333 0.196

Properties
E_form (uncorrected) in eV/atom: -2.049
Total DFT energy (no corrections) in eV per atom: -7.976



Entry 14:
Computed, not measured: a geometry-optimized CaEr2ReO8 structure at the PBE level of DFT.

Cell lengths 4.979, 4.978, 6.903 Å; angles 90.00, 90.00, 90.77 degrees
Fractional coordinates of all 12 atoms:
1 Er 0.500 0.500 0.247
2 O 0.725 0.724 0.000
3 O 0.275 0.276 0.000
4 O 0.815 0.184 0.803
5 Er 0.500 0.500 0.753
6 O 0.185 0.816 0.197
7 Re 0.000 0.000 0.000
8 O 0.683 0.682 0.500
9 O 0.815 0.184 0.197
10 Ca 0.000 0.000 0.500
11 O 0.317 0.318 0.500
12 O 0.185 0.816 0.803

Properties
E_form (uncorrected) in eV/atom: -2.519
Total DFT energy (no corrections) in eV per atom: -7.790



Entry 15:
Computed, not measured: a geometry-optimized Ca2ErReO8 structure at the PBE level of DFT.

Cell lengths 5.273, 4.681, 6.544 Å; angles 89.88, 90.05, 89.33 degrees
Fractional coordinates of all 12 atoms:
1 O 0.704 0.783 0.999
2 O 0.869 0.233 0.219
3 O 0.573 0.861 0.500
4 O 0.296 0.217 0.001
5 Ca 0.500 0.501 0.237
6 Er 0.000 0.000 0.500
7 O 0.870 0.234 0.780
8 O 0.131 0.767 0.781
9 O 0.130 0.766 0.220
10 Ca 0.500 0.499 0.763
11 Re 0.000 0.000 0.000
12 O 0.427 0.139 0.500

Properties
E_form (uncorrected) in eV/atom: -2.242
Total DFT energy (no corrections) in eV per atom: -7.299



Entry 16:
Computed, not measured: a geometry-optimized Ca2ErReO6 structure at the PBE level of DFT.

Cell lengths 4.890, 5.549, 5.549 Å; angles 90.00, 90.00, 90.00 degrees
Fractional coordinates of all 10 atoms:
1 Ca 0.993 0.500 0.000
2 O 0.164 0.500 0.500
3 O 0.728 0.768 0.232
4 O 0.728 0.232 0.232
5 Re 0.573 0.000 0.000
6 O 0.728 0.768 0.768
7 Er 0.596 0.500 0.500
8 Ca 0.993 0.000 0.500
9 O 0.728 0.232 0.768
10 O 0.215 0.000 0.000

Properties
E_form (uncorrected) in eV/atom: -2.475
Total DFT energy (no corrections) in eV per atom: -7.552



Entry 17:
Computed, not measured: a geometry-optimized CaEr2RhO5 structure at the PBE level of DFT.

Cell lengths 3.855, 5.578, 6.707 Å; angles 114.57, 106.70, 90.00 degrees
Fractional coordinates of all 9 atoms:
1 Er 0.798 0.798 0.595
2 O 0.000 0.000 0.000
3 O 0.346 0.600 0.692
4 O 0.654 0.908 0.308
5 Ca 0.000 0.500 0.000
6 O 0.654 0.400 0.308
7 O 0.346 0.092 0.692
8 Rh 0.500 0.000 0.000
9 Er 0.202 0.202 0.405

Properties
E_form (uncorrected) in eV/atom: -2.434
Total DFT energy (no corrections) in eV per atom: -7.241



Entry 18:
Computed, not measured: a geometry-optimized CaEr2SbO6 structure at the PBE level of DFT.

Cell lengths 5.774, 5.774, 6.012 Å; angles 61.30, 61.30, 60.00 degrees
Fractional coordinates of all 10 atoms:
1 O 0.616 0.222 0.240
2 O 0.398 0.695 0.764
3 O 0.695 0.142 0.764
4 Er 0.527 0.527 0.420
5 O 0.922 0.616 0.240
6 O 0.222 0.922 0.240
7 Er 0.021 0.021 0.937
8 Sb 0.316 0.316 0.053
9 O 0.142 0.398 0.764
10 Ca 0.803 0.803 0.591

Properties
E_form (uncorrected) in eV/atom: -2.757
Total DFT energy (no corrections) in eV per atom: -7.257



Entry 19:
Computed, not measured: a geometry-optimized CaErSb2O8 structure at the PBE level of DFT.

Cell lengths 5.299, 5.299, 6.701 Å; angles 113.29, 113.29, 90.00 degrees
Fractional coordinates of all 12 atoms:
1 O 0.336 0.906 0.313
2 O 0.166 0.604 0.823
3 O 0.781 0.834 0.177
4 O 0.396 0.343 0.177
5 Sb 0.500 0.500 0.000
6 O 0.593 0.664 0.687
7 O 0.094 0.023 0.687
8 Er 0.000 0.000 0.000
9 O 0.977 0.407 0.313
10 Ca 0.750 0.250 0.500
11 O 0.657 0.219 0.823
12 Sb 0.250 0.750 0.500

Properties
E_form (uncorrected) in eV/atom: -2.017
Total DFT energy (no corrections) in eV per atom: -6.556



Entry 20:
Computed, not measured: a geometry-optimized CaEr2TcO8 structure at the PBE level of DFT.

Cell lengths 5.079, 4.766, 6.853 Å; angles 89.98, 90.00, 90.62 degrees
Fractional coordinates of all 12 atoms:
1 O 0.152 0.782 0.800
2 O 0.848 0.218 0.800
3 O 0.697 0.749 0.000
4 O 0.303 0.251 0.000
5 O 0.606 0.756 0.500
6 O 0.394 0.244 0.500
7 Er 0.500 0.500 0.242
8 Ca 0.000 0.000 0.500
9 Tc 0.000 0.000 0.000
10 O 0.152 0.782 0.200
11 O 0.848 0.218 0.200
12 Er 0.500 0.500 0.758

Properties
E_form (uncorrected) in eV/atom: -2.354
Total DFT energy (no corrections) in eV per atom: -7.451